No. 1
{
  "formula": "DyGaPt",
  "functional": "PBE",
  "state": "optimized geometry",
  "formation_energy_mev_per_atom": -776,
  "lattice_angstrom": [[0.0000, 5.4617, 6.1256], [3.9038, 0.0000, 6.1256], [3.9038, 5.4617, 0.0000]],
  "species": ["Dy", "Dy", "Dy", "Dy", "Ga", "Ga", "Ga", "Ga", "Pt", "Pt", "Pt", "Pt"],
  "fractional_positions": [[0.0000, 0.0000, 0.0000], [0.0000, 0.0000, 0.5000], [0.0000, 0.5000, 0.0000], [0.5000, 0.0000, 0.0000], [0.2476, 0.5024, 0.2476], [0.4976, 0.7524, 0.4976], [0.5024, 0.2476, 0.5024], [0.7524, 0.4976, 0.7524], [0.1954, 0.1954, 0.5546], [0.4454, 0.4454, 0.8046], [0.5546, 0.5546, 0.1954], [0.8046, 0.8046, 0.4454]]
}


No. 2
{
  "formula": "DyGa2Pt4",
  "functional": "PBE",
  "state": "optimized geometry",
  "de_polymorph_ev_per_atom": 0.000,
  "formation_energy_mev_per_atom": -834,
  "lattice_angstrom": [[16.2799, 0.0000, 0.0000], [0.0000, 4.2121, 0.0000], [0.0000, 0.0000, 7.2084]],
  "species": ["Dy", "Dy", "Dy", "Dy", "Ga", "Ga", "Ga", "Ga", "Ga", "Ga", "Ga", "Ga", "Pt", "Pt", "Pt", "Pt", "Pt", "Pt", "Pt", "Pt", "Pt", "Pt", "Pt", "Pt", "Pt", "Pt", "Pt", "Pt"],
  "fractional_positions": [[0.1478, 0.2500, 0.0658], [0.3522, 0.7500, 0.5658], [0.6478, 0.2500, 0.4342], [0.8522, 0.7500, 0.9342], [0.0226, 0.7500, 0.2493], [0.1920, 0.2500, 0.6216], [0.3080, 0.7500, 0.1216], [0.4774, 0.2500, 0.7493], [0.5226, 0.7500, 0.2507], [0.6920, 0.2500, 0.8784], [0.8080, 0.7500, 0.3784], [0.9774, 0.2500, 0.7507], [0.0448, 0.7500, 0.8987], [0.0550, 0.2500, 0.4440], [0.1728, 0.7500, 0.3936], [0.2141, 0.7500, 0.8204], [0.2859, 0.2500, 0.3204], [0.3272, 0.2500, 0.8936], [0.4450, 0.7500, 0.9440], [0.4552, 0.2500, 0.3987], [0.5448, 0.7500, 0.6013], [0.5550, 0.2500, 0.0560], [0.6728, 0.7500, 0.1064], [0.7141, 0.7500, 0.6796], [0.7859, 0.2500, 0.1796], [0.8272, 0.2500, 0.6064], [0.9450, 0.7500, 0.5560], [0.9552, 0.2500, 0.1013]]
}


No. 3
{
  "formula": "Dy4GaPt",
  "functional": "PBE",
  "state": "optimized geometry",
  "formation_energy_mev_per_atom": -482,
  "lattice_angstrom": [[2.6233, -10.2319, 0.0000], [2.6233, 10.2319, 0.0000], [0.0000, 0.0000, 6.3148]],
  "species": ["Dy", "Dy", "Dy", "Dy", "Dy", "Dy", "Dy", "Dy", "Ga", "Ga", "Pt", "Pt"],
  "fractional_positions": [[0.0544, 0.9456, 0.5000], [0.1939, 0.8061, 0.7628], [0.2055, 0.7945, 0.2758], [0.3887, 0.6113, 0.5334], [0.6113, 0.3887, 0.0334], [0.7945, 0.2055, 0.7758], [0.8061, 0.1939, 0.2628], [0.9456, 0.0544, 0.0000], [0.3391, 0.6609, 0.0187], [0.6609, 0.3391, 0.5187], [0.0798, 0.9202, 0.0055], [0.9202, 0.0798, 0.5055]]
}


Respective total magnetization values: 0.00 0.00 0.00 μB per cell.